A crystal of Ta3CS relaxed with PBEsol, computed with meta-GGA SCAN.

a = 4.235 Å, b = 4.235 Å, c = 4.235 Å
α = 90.00°, β = 90.00°, γ = 90.00°
Element x y z (fractional)
Ta: 0.000 0.000 0.500
Ta: 0.000 0.500 0.000
Ta: 0.500 0.000 0.000
C: 0.000 0.000 0.000
S: 0.500 0.500 0.500

Results
Total moment   0.00 μB per cell
Formation energy (no corrections)   0.414 eV/atom
Raw total energy   -43.482 eV/atom

=====

A crystal of TcWC2S relaxed with PBEsol, computed with meta-GGA SCAN.

a = 3.964 Å, b = 3.964 Å, c = 4.808 Å
α = 90.00°, β = 90.00°, γ = 90.00°
Element x y z (fractional)
Tc: 0.000 0.000 0.000
W: 0.500 0.500 0.500
C: 0.000 0.500 0.500
C: 0.500 0.000 0.500
S: 0.500 0.500 0.000

Results
Total moment   4.28 μB per cell
Formation energy (no corrections)   1.621 eV/atom
Raw total energy   -25.294 eV/atom

=====

A crystal of TeC3S relaxed with PBEsol, computed with meta-GGA SCAN.

a = 4.135 Å, b = 4.135 Å, c = 4.135 Å
α = 90.00°, β = 90.00°, γ = 90.00°
Element x y z (fractional)
Te: 0.000 0.000 0.000
C: 0.000 0.000 0.500
C: 0.000 0.500 0.000
C: 0.500 0.000 0.000
S: 0.500 0.500 0.500

Results
Total moment   2.82 μB per cell
Formation energy (no corrections)   3.347 eV/atom
Raw total energy   -12.089 eV/atom